Computed, not measured: a relaxed Zr4Os3 crystal at the PBE level of DFT.

Results
Its energy is -10.11 eV/atom. Its magnetic moment is 0.000 μB/f.u. The value obtained for the distance to the lowest polymorph of the same formula is 0 meV/atom.

abc: 4.6059 4.6059 22.5300
angles: 90.00 90.00 120.00
Space group R-3m (No. 166, hexagonal axes)
Asymmetric unit:
Zr: 0.0000 0.0000 0.1220 (multiplicity 6)
Zr: 0.0000 0.0000 0.3727 (multiplicity 6)
Os: 0.0000 0.0000 0.2494 (multiplicity 6)
Os: 0.0000 0.0000 0.5000 (multiplicity 3)